[1]
# Nd3Tl2Ru | the Alexandria database | PBE | relaxed
# Crystal system   monoclinic
# Density of states at the Fermi level   10.31 states/eV/cell
# Uncorrected energy   -59.67 eV/cell
# Energy relative to the lowest polymorph listed for this composition   0 meV per atom
# Energy relative to the elements   -1.521 eV per formula unit
data_Nd3Tl2Ru
_symmetry_space_group_name_H-M 'P 1 21/m 1'
_symmetry_Int_Tables_number 11
_symmetry_space_group_name_Hall '-P 2yb'
_cell_length_a 5.454
_cell_length_b 7.316
_cell_length_c 9.048
_cell_angle_alpha 90.00
_cell_angle_beta 107.43
_cell_angle_gamma 90.00
loop_
_atom_site_label
_atom_site_type_symbol
_atom_site_fract_x
_atom_site_fract_y
_atom_site_fract_z
Nd1 Nd 0.001 0.250 0.000
Nd2 Nd 0.369 0.000 0.737
Tl1 Tl 0.194 0.250 0.387
Tl2 Tl 0.194 0.750 0.387
Ru1 Ru 0.499 0.750 0.000

***

[2]
# Nd6Tl2Ru | the Alexandria database | PBE | relaxed
# Crystal system   orthorhombic
# Density of states at the Fermi level   20.87 states/eV/cell
# Uncorrected energy   -90.03 eV/cell
# Energy relative to the lowest polymorph listed for this composition   0 meV per atom
# Energy relative to the elements   -2.400 eV per formula unit
data_Nd6Tl2Ru
_symmetry_space_group_name_H-M 'A m m 2'
_symmetry_Int_Tables_number 38
_symmetry_space_group_name_Hall 'A 2 -2'
_cell_length_a 3.946
_cell_length_b 15.410
_cell_length_c 8.934
_cell_angle_alpha 90.00
_cell_angle_beta 90.00
_cell_angle_gamma 90.00
loop_
_atom_site_label
_atom_site_type_symbol
_atom_site_fract_x
_atom_site_fract_y
_atom_site_fract_z
Nd1 Nd 0.000 0.000 0.000
Nd2 Nd 0.000 0.118 0.638
Nd3 Nd 0.500 0.000 0.360
Nd4 Nd 0.500 0.198 0.955
Tl1 Tl 0.000 0.168 0.257
Ru1 Ru 0.500 0.000 0.766

***

[3]
# Nd3TlRu | the Alexandria database | PBE | relaxed
# Crystal system   cubic
# Density of states at the Fermi level   4.54 states/eV/cell
# Uncorrected energy   -26.53 eV/cell
# Energy relative to the lowest polymorph listed for this composition   155 meV per atom
# Energy relative to the elements   -0.582 eV per formula unit
data_Nd3TlRu
_symmetry_space_group_name_H-M 'P m -3 m'
_symmetry_Int_Tables_number 221
_symmetry_space_group_name_Hall '-P 4 2 3'
_cell_length_a 5.459
_cell_length_b 5.459
_cell_length_c 5.459
_cell_angle_alpha 90.00
_cell_angle_beta 90.00
_cell_angle_gamma 90.00
loop_
_atom_site_label
_atom_site_type_symbol
_atom_site_fract_x
_atom_site_fract_y
_atom_site_fract_z
Nd1 Nd 0.000 0.000 0.500
Tl1 Tl 0.500 0.500 0.500
Ru1 Ru 0.000 0.000 0.000

***

[4]
# Nd3TlRu2 | the Alexandria database | PBE | relaxed
# Crystal system   tetragonal
# Density of states at the Fermi level   3.64 states/eV/cell
# Uncorrected energy   -36.50 eV/cell
# Energy relative to the elements   -1.281 eV per formula unit
data_Nd3TlRu2
_symmetry_space_group_name_H-M 'P 4/m m m'
_symmetry_Int_Tables_number 123
_symmetry_space_group_name_Hall '-P 4 2'
_cell_length_a 3.487
_cell_length_b 3.487
_cell_length_c 12.227
_cell_angle_alpha 90.00
_cell_angle_beta 90.00
_cell_angle_gamma 90.00
loop_
_atom_site_label
_atom_site_type_symbol
_atom_site_fract_x
_atom_site_fract_y
_atom_site_fract_z
Nd1 Nd 0.000 0.000 0.000
Nd2 Nd 0.000 0.000 0.289
Tl1 Tl 0.500 0.500 0.500
Ru1 Ru 0.500 0.500 0.150

***

[5]
# Nd5Tl2Ru2 | the Alexandria database | PBE | relaxed
# Crystal system   orthorhombic
# Density of states at the Fermi level   23.43 states/eV/cell
# Uncorrected energy   -198.04 eV/cell
# Energy relative to the elements   -2.387 eV per formula unit
data_Nd5Tl2Ru2
_symmetry_space_group_name_H-M 'C m c e'
_symmetry_Int_Tables_number 64
_symmetry_space_group_name_Hall '-C 2ac 2'
_cell_length_a 16.732
_cell_length_b 7.701
_cell_length_c 7.923
_cell_angle_alpha 90.00
_cell_angle_beta 90.00
_cell_angle_gamma 90.00
loop_
_atom_site_label
_atom_site_type_symbol
_atom_site_fract_x
_atom_site_fract_y
_atom_site_fract_z
Nd1 Nd 0.000 0.000 0.000
Nd2 Nd 0.116 0.170 0.330
Tl1 Tl 0.219 0.000 0.000
Ru1 Ru 0.000 0.127 0.631

***

[6]
# Nd12Tl5Ru2 | the Alexandria database | PBE | relaxed
# Crystal system   monoclinic
# Density of states at the Fermi level   38.55 states/eV/cell
# Uncorrected energy   -179.27 eV/cell
# Energy relative to the elements   -2.039 eV per formula unit
data_Nd12Tl5Ru2
_symmetry_space_group_name_H-M 'C 1 2/m 1'
_symmetry_Int_Tables_number 12
_symmetry_space_group_name_Hall '-C 2y'
_cell_length_a 17.539
_cell_length_b 7.936
_cell_length_c 10.077
_cell_angle_alpha 90.00
_cell_angle_beta 106.77
_cell_angle_gamma 90.00
loop_
_atom_site_label
_atom_site_type_symbol
_atom_site_fract_x
_atom_site_fract_y
_atom_site_fract_z
Nd1 Nd 0.000 0.000 0.228
Nd2 Nd 0.004 0.500 0.820
Nd3 Nd 0.152 0.255 0.575
Nd4 Nd 0.161 0.234 0.085
Tl1 Tl 0.000 0.500 0.500
Tl2 Tl 0.193 0.000 0.836
Tl3 Tl 0.195 0.000 0.363
Ru1 Ru 0.000 0.215 0.000